[1]
{
  "formula": "Cd2ReSi",
  "functional": "PBE",
  "state": "relaxed",
  "crystal_system": "orthorhombic",
  "final_energy_ev_per_atom": -4.559,
  "spacegroup": "Cmm2",
  "e_form_raw_mev_per_atom": 366,
  "lattice_angstrom": [[-0.4248, 0.7126, 2.6822], [-2.2077, -1.1281, -1.3175], [3.2379, -10.0567, 3.1848]],
  "species": ["Si", "Re", "Cd", "Cd"],
  "fractional_positions": [[0.5000, 0.5000, 0.6991], [0.0000, 0.0000, 0.5217], [0.5000, 0.5000, 0.2876], [0.0000, 0.0000, 0.9916]]
}

=====

[2]
{
  "formula": "HoTaFe4",
  "functional": "PBE",
  "state": "relaxed",
  "crystal_system": "trigonal",
  "final_energy_ev_per_atom": -8.499,
  "spacegroup": "P-3m1",
  "delta_e_f_ev_per_atom": -0.12,
  "lattice_angstrom": [[-3.4535, 3.4191, -0.9465], [-0.9604, -4.7852, -0.8323], [-2.8364, -0.7559, 7.6190]],
  "species": ["Ho", "Ho", "Fe", "Fe", "Fe", "Fe", "Fe", "Fe", "Fe", "Fe", "Ta", "Ta"],
  "fractional_positions": [[0.6667, 0.3333, 0.9327], [0.3333, 0.6667, 0.0673], [0.8320, 0.1680, 0.2653], [0.8320, 0.6641, 0.2653], [0.1680, 0.3359, 0.7347], [0.0000, 0.0000, 0.0000], [0.6641, 0.8320, 0.7347], [0.3359, 0.1680, 0.2653], [0.0000, 0.0000, 0.5000], [0.1680, 0.8320, 0.7347], [0.6667, 0.3333, 0.5555], [0.3333, 0.6667, 0.4445]]
}